# 1
Below is K2CdBi2 after structural relaxation, with properties calculated at the GGA-PBE level.

Geometry as POSCAR:
```
K2CdBi2
1.0
8.008 0.000 0.000
0.000 8.008 0.000
0.000 0.000 5.834
K Bi Cd
4 4 2
Cartesian
1.324 5.328 2.917 K
5.328 6.684 2.917 K
6.684 2.680 2.917 K
2.680 1.324 2.917 K
2.883 6.887 0.000 Bi
6.887 5.125 0.000 Bi
5.125 1.121 0.000 Bi
1.121 2.883 0.000 Bi
0.000 0.000 0.000 Cd
4.004 4.004 0.000 Cd
```

Energy in eV per atom: -2.466
Relative energy among the computed polymorphs in meV per atom: 0
Symmetry: P4/mbm, No. 127

=====

# 2
Below is TcIBr2N after structural relaxation, with properties calculated at the GGA-PBE level.

Geometry as POSCAR:
```
TcIBr2N
1.0
5.944 0.000 0.000
0.000 3.706 0.000
0.000 0.000 5.944
I Tc Br N
1 1 2 1
Cartesian
2.972 1.853 2.972 I
0.000 1.853 0.000 Tc
0.000 0.000 2.972 Br
2.972 0.000 0.000 Br
0.000 0.000 0.000 N
```

Energy in eV per atom: -3.821
ΔE_f (raw) in meV/atom: 896.3
Symmetry: P4/mmm, No. 123

=====

# 3
Below is Li2HgPt after structural relaxation, with properties calculated at the GGA-PBE level.

Geometry as POSCAR:
```
Li2HgPt
1.0
-2.650 0.631 3.464
-1.916 -2.191 -1.066
2.232 -3.052 2.263
Hg Pt Li
1 1 2
Cartesian
-0.570 -3.724 3.045 Hg
-0.360 -2.515 0.183 Pt
1.714 -2.946 1.848 Li
-0.728 -1.102 2.447 Li
```

Energy in eV per atom: -2.990
Symmetry: P4/mmm, No. 123

=====

# 4
Below is ScSi2Pt3 after structural relaxation, with properties calculated at the GGA-PBE level.

Geometry as POSCAR:
```
ScSi2Pt3
1.0
-2.635 -2.625 -1.099
6.221 -4.642 3.011
-5.646 2.483 7.608
Sc Si Pt
3 6 9
Cartesian
-2.391 -0.090 5.949 Sc
0.331 -4.693 3.572 Sc
0.000 0.000 0.000 Sc
1.202 -2.029 1.964 Si
-3.262 -2.754 7.557 Si
3.239 -4.891 3.915 Si
-5.299 0.108 5.606 Si
0.442 -2.945 5.974 Si
-2.502 -1.838 3.547 Si
-1.470 0.377 2.624 Pt
-0.590 -5.160 6.897 Pt
0.036 -1.724 4.029 Pt
-2.096 -3.060 5.492 Pt
-1.263 -2.181 1.395 Pt
-0.797 -2.602 8.126 Pt
-4.141 -0.071 3.255 Pt
2.894 -3.722 1.950 Pt
-4.954 -1.061 7.571 Pt
```

Energy in eV per atom: -6.840
ΔE_f (raw) in meV/atom: -956.3
Symmetry: C2/m, No. 12

=====

# 5
Below is CsZnIn2Co after structural relaxation, with properties calculated at the GGA-PBE level.

Geometry as POSCAR:
```
CsZnIn2Co
1.0
5.086 0.000 0.000
0.000 5.086 0.000
0.000 0.000 5.101
Cs Zn Co In
1 1 1 2
Cartesian
2.543 2.543 2.551 Cs
0.000 0.000 2.551 Zn
0.000 0.000 0.000 Co
0.000 2.543 0.000 In
2.543 0.000 0.000 In
```

Energy in eV per atom: -2.881
Symmetry: P4/mmm, No. 123

=====

# 6
Below is Dy4ErPb5 after structural relaxation, with properties calculated at the GGA-PBE level.

Geometry as POSCAR:
```
Dy4ErPb5
1.0
6.284 0.000 0.000
3.142 7.026 0.000
3.142 0.000 7.026
Dy Er Pb
4 1 5
Cartesian
6.286 2.808 5.610 Dy
9.428 5.610 4.217 Dy
3.144 1.416 2.808 Dy
6.286 4.217 1.416 Dy
0.025 0.000 0.000 Er
9.427 2.803 5.634 Pb
6.285 5.634 4.223 Pb
6.285 1.392 2.803 Pb
3.143 4.223 1.392 Pb
3.169 0.000 0.000 Pb
```

Energy in eV per atom: -4.472
Symmetry: I4, No. 79

=====

# 7
Below is NaNpSnAu after structural relaxation, with properties calculated at the GGA-PBE level.

Geometry as POSCAR:
```
NaNpSnAu
1.0
5.154 0.000 0.000
2.577 4.464 0.000
2.577 1.488 4.209
Np Na Au Sn
1 1 1 1
Cartesian
7.732 4.464 3.156 Np
2.577 1.488 1.052 Na
5.154 2.976 2.104 Au
0.000 0.000 0.000 Sn
```

Energy in eV per atom: -5.408
Symmetry: F-43m, No. 216

=====

# 8
Below is NpHgBiPb after structural relaxation, with properties calculated at the GGA-PBE level.

Geometry as POSCAR:
```
NpHgBiPb
1.0
5.478 0.000 0.000
2.739 4.744 0.000
2.739 1.581 4.473
Np Pb Bi Hg
1 1 1 1
Cartesian
8.217 4.744 3.354 Np
2.739 1.581 1.118 Pb
5.478 3.163 2.236 Bi
0.000 0.000 0.000 Hg
```

Energy in eV per atom: -5.023
Symmetry: F-43m, No. 216